! HfSc2InN (PBE, optimized geometry); values from VASP
! E_form (uncorrected) = -1002 meV/atom
! Calculated volume = 89 Å³/cell
! Total moment = 0.00 μB per formula unit
! N(E_F) = 0.44 states/eV/atom
! Symmetry = P4/mmm, No. 123
&SYSTEM
  ibrav = 0, nat = 5, ntyp = 4
/
ATOMIC_SPECIES
Sc 44.96 Sc.upf
N 14.01 N.upf
Hf 178.49 Hf.upf
In 114.82 In.upf
CELL_PARAMETERS angstrom
-1.471 -4.220 0.354
2.331 -0.494 3.797
-3.495 1.414 2.329
ATOMIC_POSITIONS crystal
Sc 0.000 0.500 0.000
Sc 0.500 0.000 0.000
N 0.000 0.000 0.000
Hf 0.000 0.000 0.500
In 0.500 0.500 0.500